1.
Compound: Li3Sm2HfS6
Source: the Alexandria database
Functional: GGA-PBE
Structure: optimized geometry

Unit cell a=6.7054 b=6.7054 c=6.5739 alpha=99.63 beta=99.63 gamma=120.15
Element x y z (fractional)
Li1 0.5000 0.5000 0.5000
Li2 0.8441 0.1559 0.5000
Li3 0.1559 0.8441 0.5000
S1 0.9155 0.6065 0.7458
S2 0.2296 0.2296 0.7518
S3 0.0845 0.3935 0.2542
S4 0.6065 0.9155 0.7458
S5 0.3935 0.0845 0.2542
S6 0.7704 0.7704 0.2482
Sm1 0.3320 0.6680 0.0000
Sm2 0.6680 0.3320 0.0000
Hf1 0.0000 0.0000 0.0000

Values from the calculation:
Its formation energy (no corrections) is -1684 meV per atom. Its total energy is -5.843 eV/atom. The value obtained for the density of states at the Fermi level is 3.52 states/eV/cell.

2.
Compound: MnInTc
Source: the Alexandria database
Functional: GGA-PBE
Structure: optimized geometry

Unit cell a=4.1999 b=4.1999 c=4.1999 alpha=60.00 beta=60.00 gamma=60.00
Each line ends with the local moment (μB).
Element x y z (fractional)
Tc1 0.0000 0.0000 0.0000  -0.73
Mn1 0.7500 0.7500 0.7500  1.73
In1 0.5000 0.5000 0.5000  0.00

Values from the calculation:
The polymorph energy (0 for the lowest one) comes out at 28.4 kJ per mole of atoms. Its total energy is -6.959 eV/atom. The value obtained for the density of states at the Fermi level is 2.09 states/eV/cell. Its energy relative to the elements is 0.465 eV per atom.

3.
Compound: ZnIn3P
Source: the Alexandria database
Functional: GGA-PBE
Structure: optimized geometry

Unit cell a=5.1236 b=5.1236 c=5.1236 alpha=90.00 beta=90.00 gamma=90.00
Element x y z (fractional)
In1 0.0000 0.0000 0.5000
In2 0.0000 0.5000 0.0000
In3 0.5000 0.0000 0.0000
P1 0.5000 0.5000 0.5000
Zn1 0.0000 0.0000 0.0000

Values from the calculation:
The polymorph energy (0 for the lowest one) comes out at 9.6 kJ per mole of atoms. Its total energy is -2.467 eV/atom. The value obtained for the density of states at the Fermi level is 2.49 states/eV/cell. Its energy relative to the elements is 0.513 eV per atom.

4.
Compound: NpF4
Source: the Alexandria database
Functional: GGA-PBE
Structure: optimized geometry

Unit cell a=4.3852 b=4.3852 c=4.3852 alpha=90.00 beta=90.00 gamma=90.00
Each line ends with the local moment (μB).
Element x y z (fractional)
F1 0.5000 0.0000 0.5000  -0.02
F2 0.5000 0.5000 0.0000  -0.02
F3 0.0000 0.5000 0.5000  -0.02
F4 0.0000 0.0000 0.0000  -0.17
Np1 0.5000 0.5000 0.5000  3.20

Values from the calculation:
Its formation energy (no corrections) is -3026 meV per atom. The polymorph energy (0 for the lowest one) comes out at 42.4 kJ per mole of atoms. Its total energy is -7.111 eV/atom. The value obtained for the density of states at the Fermi level is 11.13 states/eV/cell.

5.
Compound: In2GaO
Source: the Alexandria database
Functional: GGA-PBE
Structure: optimized geometry

Unit cell a=4.7838 b=4.7838 c=4.7838 alpha=60.00 beta=60.00 gamma=60.00
Element x y z (fractional)
O1 0.0000 0.0000 0.0000
In1 0.7500 0.7500 0.7500
In2 0.2500 0.2500 0.2500
Ga1 0.5000 0.5000 0.5000

Values from the calculation:
Its formation energy (no corrections) is 52 meV per atom. The polymorph energy (0 for the lowest one) comes out at 43.9 kJ per mole of atoms. Its total energy is -3.313 eV/atom. The value obtained for the density of states at the Fermi level is 3.76 states/eV/cell.

6.
Compound: LaNb2W
Source: the Alexandria database
Functional: GGA-PBE
Structure: optimized geometry

Unit cell a=7.7619 b=7.7619 c=6.2450 alpha=51.58 beta=51.58 gamma=90.00
Element x y z (fractional)
Nb1 0.6655 0.1250 0.2500
Nb2 0.8750 0.9155 0.7500
Nb3 0.0845 0.6250 0.2500
Nb4 0.3750 0.3345 0.7500
W1 0.0000 0.0000 0.0000
W2 0.7500 0.2500 0.5000
La1 0.5000 0.5000 0.0000
La2 0.2500 0.7500 0.5000

Values from the calculation:
The polymorph energy (0 for the lowest one) comes out at 38.7 kJ per mole of atoms. Its total energy is -8.663 eV/atom. The value obtained for the density of states at the Fermi level is 8.79 states/eV/cell. Its energy relative to the elements is 0.842 eV per atom.

7.
Compound: Y3Er4Sc2
Source: the Alexandria database
Functional: GGA-PBE
Structure: optimized geometry

Unit cell a=6.6570 b=11.5102 c=11.5102 alpha=50.22 beta=57.09 gamma=57.09
Element x y z (fractional)
Sc1 0.5649 0.8766 0.4533
Sc2 0.9351 0.5467 0.1234
Sc3 0.4351 0.1234 0.5467
Sc4 0.0649 0.4533 0.8766
Er1 0.4825 0.8358 0.1970
Er2 0.0175 0.8030 0.1642
Er3 0.5175 0.1642 0.8030
Er4 0.5366 0.5638 0.8121
Er5 0.4634 0.4362 0.1879
Er6 0.9825 0.1970 0.8358
Er7 0.9634 0.1879 0.4362
Er8 0.0366 0.8121 0.5638
Y1 0.0639 0.8918 0.8030
Y2 0.9361 0.1082 0.1970
Y3 0.2500 0.5128 0.4872
Y4 0.5639 0.8030 0.8918
Y5 0.7500 0.4872 0.5128
Y6 0.4361 0.1970 0.1082

Values from the calculation:
The polymorph energy (0 for the lowest one) comes out at 0.0 kJ per mole of atoms. Its total energy is -5.494 eV/atom. The value obtained for the density of states at the Fermi level is 25.30 states/eV/cell. Its energy relative to the elements is 0.096 eV per atom.

8.
Compound: In3ReSe
Source: the Alexandria database
Functional: GGA-PBE
Structure: optimized geometry

Unit cell a=5.2684 b=5.2684 c=5.2684 alpha=90.00 beta=90.00 gamma=90.00
Each line ends with the local moment (μB).
Element x y z (fractional)
In1 0.0000 0.0000 0.5000  0.00
In2 0.5000 0.0000 0.0000  -0.01
In3 0.0000 0.5000 0.0000  0.01
Se1 0.5000 0.5000 0.5000  0.39
Re1 0.0000 0.0000 0.0000  1.16

Values from the calculation:
Its formation energy (no corrections) is 627 meV per atom. The polymorph energy (0 for the lowest one) comes out at 0.0 kJ per mole of atoms. Its total energy is -4.203 eV/atom. The value obtained for the density of states at the Fermi level is 6.41 states/eV/cell.